1.
Here is KVN after structural relaxation from Alexandria. Energies are from PBE-GGA.

D(E_F) = 5.48 states/eV/cell
E_form (uncorrected) = -0.43 eV/atom
magnetic moment = 0.00 μB per formula unit
energy above the most stable polymorph in this dataset = 0 meV per atom

Lattice parameters (Å, degrees): 3.659 3.659 10.148 90.00 90.00 90.00
Space group P4/nmm (No. 129, origin choice 2)
Inequivalent atoms, fractional coordinates:
1 K 0.250 0.250 0.193
2 V 0.250 0.750 0.500
3 N 0.250 0.250 0.575

***

2.
Here is SbBrF2 after structural relaxation from Alexandria. Energies are from PBE-GGA.

D(E_F) = 8.16 states/eV/cell
E_form (uncorrected) = -0.92 eV/atom
magnetic moment = 0.12 μB per formula unit
energy above the most stable polymorph in this dataset = 809 meV per atom

Lattice parameters (Å, degrees): 3.1649 3.1649 31.9401 90.00 90.00 120.00
Space group R-3m (No. 166, hexagonal axes)
Inequivalent atoms, fractional coordinates:
1 Sb 0.0000 0.0000 0.0000
2 Br 0.0000 0.0000 0.5000
3 F 0.0000 0.0000 0.3842

***

3.
Here is AcCuAsH after structural relaxation from Alexandria. Energies are from PBE-GGA.

D(E_F) = 5.77 states/eV/cell
magnetic moment = 0.00 μB per formula unit
energy above the most stable polymorph in this dataset = 517 meV per atom

Lattice parameters (Å, degrees): 6.650 6.650 6.650 90.00 90.00 90.00
Space group F-43m (No. 216)
Inequivalent atoms, fractional coordinates:
1 Ac 0.000 0.000 0.000
2 Cu 0.250 0.250 0.250
3 As 0.000 0.000 0.500
4 H 0.250 0.250 0.750

***

4.
Here is YMnSe after structural relaxation from Alexandria. Energies are from PBE-GGA.

D(E_F) = 10.95 states/eV/cell
E_form (uncorrected) = -0.30 eV/atom
magnetic moment = 2.45 μB per formula unit
energy above the most stable polymorph in this dataset = 312 meV per atom

Lattice parameters (Å, degrees): 6.411 6.411 6.411 90.00 90.00 90.00
Space group F-43m (No. 216)
Inequivalent atoms, fractional coordinates:
1 Y 0.000 0.000 0.000
2 Mn 0.000 0.000 0.500
3 Se 0.250 0.250 0.250

***

5.
Here is Zr2H2W after structural relaxation from Alexandria. Energies are from PBE-GGA.

D(E_F) = 4.59 states/eV/cell
magnetic moment = 0.00 μB per formula unit
DFT total energy = -7.588 eV/atom

Lattice parameters (Å, degrees): 3.339 3.339 11.963 90.00 90.00 90.00
Space group I4/mmm (No. 139)
Inequivalent atoms, fractional coordinates:
1 Zr 0.000 0.000 0.141
2 H 0.000 0.500 0.250
3 W 0.000 0.000 0.500

***

6.
Here is NdTiO2 after structural relaxation from Alexandria. Energies are from PBE-GGA.

D(E_F) = 8.95 states/eV/cell
E_form (uncorrected) = -2.23 eV/atom
magnetic moment = 0.11 μB per formula unit

Lattice parameters (Å, degrees): 3.3151 3.3151 19.3019 90.00 90.00 120.00
Space group R-3m (No. 166, hexagonal axes)
Inequivalent atoms, fractional coordinates:
1 Nd 0.0000 0.0000 0.0000
2 Ti 0.0000 0.0000 0.5000
3 O 0.0000 0.0000 0.1224

***

7.
Here is CaScSnC2 after structural relaxation from Alexandria. Energies are from PBE-GGA.

D(E_F) = 3.80 states/eV/cell
magnetic moment = 0.00 μB per formula unit
calculated formation energy = 1.9845 eV per atom

Lattice parameters (Å, degrees): 4.456 4.456 5.467 90.00 90.00 90.00
Space group P4/mmm (No. 123)
Inequivalent atoms, fractional coordinates:
1 Ca 0.000 0.000 0.000
2 Sc 0.500 0.500 0.500
3 Sn 0.000 0.000 0.500
4 C 0.000 0.500 0.000

***

8.
Here is ThAl2Ir after structural relaxation from Alexandria. Energies are from PBE-GGA.

D(E_F) = 8.48 states/eV/cell
magnetic moment = 0.00 μB per formula unit
calculated formation energy = -0.6941 eV per atom

Lattice parameters (Å, degrees): 4.2374 4.2374 15.9127 90.00 90.00 120.00
Space group R-3m (No. 166, hexagonal axes)
Inequivalent atoms, fractional coordinates:
1 Th 0.0000 0.0000 0.0000
2 Al 0.0000 0.0000 0.2072
3 Ir 0.0000 0.0000 0.5000

***

9.
Here is AlZnPd6 after structural relaxation from Alexandria. Energies are from PBE-GGA.

D(E_F) = 14.35 states/eV/cell
magnetic moment = 0.00 μB per formula unit
energy above the most stable polymorph in this dataset = 0 meV per atom
calculated formation energy = -0.4659 eV per atom

Lattice parameters (Å, degrees): 7.501 7.665 4.179 90.00 90.00 90.00
Space group Cmmm (No. 65)
Inequivalent atoms, fractional coordinates:
1 Al 0.000 0.000 0.000
2 Zn 0.000 0.500 0.000
3 Pd 0.000 0.303 0.500
4 Pd 0.193 0.000 0.500
5 Pd 0.250 0.250 0.000

***

10.
Here is CaPm2Pd after structural relaxation from Alexandria. Energies are from PBE-GGA.

D(E_F) = 16.33 states/eV/cell
magnetic moment = 0.00 μB per formula unit
energy above the most stable polymorph in this dataset = 132 meV per atom
calculated formation energy = -0.2664 eV per atom

Lattice parameters (Å, degrees): 4.1257 4.1257 28.3678 90.00 90.00 120.00
Space group R3m (No. 160, hexagonal axes)
Inequivalent atoms, fractional coordinates:
1 Ca 0.0000 0.0000 0.0000
2 Pm 0.0000 0.0000 0.5552
3 Pm 0.0000 0.0000 0.7753
4 Pd 0.0000 0.0000 0.1649

***

11.
Here is Pr2ErHg4 after structural relaxation from Alexandria. Energies are from PBE-GGA.

D(E_F) = 18.38 states/eV/cell
magnetic moment = 0.00 μB per formula unit
energy above the most stable polymorph in this dataset = 0 meV per atom
calculated formation energy = -0.3461 eV per atom

Lattice parameters (Å, degrees): 5.0504 5.0504 28.5196 90.00 90.00 120.00
Space group R-3m (No. 166, hexagonal axes)
Inequivalent atoms, fractional coordinates:
1 Pr 0.0000 0.0000 0.2448
2 Er 0.0000 0.0000 0.0000
3 Hg 0.0000 0.0000 0.1332
4 Hg 0.0000 0.0000 0.3671

***

12.
Here is RbY2Be2 after structural relaxation from Alexandria. Energies are from PBE-GGA.

D(E_F) = 19.30 states/eV/cell
magnetic moment = 2.01 μB per formula unit
energy above the most stable polymorph in this dataset = 244 meV per atom
calculated formation energy = 0.7896 eV per atom

Lattice parameters (Å, degrees): 5.054 5.054 12.354 90.00 90.00 90.00
Space group I4/mmm (No. 139)
Inequivalent atoms, fractional coordinates:
1 Rb 0.000 0.000 0.000
2 Y 0.000 0.000 0.339
3 Be 0.000 0.500 0.250